1.
DFT (PBE) results for CrTcP2 after structural relaxation.

Summary:
The calculation puts the density of states at the Fermi level at 0.88 states/eV per atom.

Cell lengths 2.9520, 2.9520, 20.5292 Å; angles 90.00, 90.00, 120.00 degrees
With the nearest neighbours (Å) after each atom.
Space group R3m (No. 160, hexagonal axes)
Inequivalent atoms, fractional coordinates:
Cr 0.0000 0.0000 0.0000 (multiplicity 3)  6 P 2.31-2.44
Tc 0.0000 0.0000 0.8421 (multiplicity 3)  6 P 2.40-2.52
P 0.0000 0.0000 0.4182 (multiplicity 3)  3 Cr 2.44, 3 Tc 2.52
P 0.0000 0.0000 0.5907 (multiplicity 3)  3 Cr 2.31, 3 Tc 2.40

***

2.
DFT (PBE) results for CrTc2P after structural relaxation.

Summary:
The calculation puts the density of states at the Fermi level at 0.94 states/eV per atom.

Cell lengths 2.9927, 3.9497, 4.4676 Å; angles 90.00, 90.00, 90.00 degrees
With the nearest neighbours (Å) after each atom.
Space group Pmmm (No. 47)
Inequivalent atoms, fractional coordinates:
Cr 0.0000 0.0000 0.0000 (multiplicity 1)  4 Tc 2.48, 4 P 2.69
Tc 0.0000 0.5000 0.5000 (multiplicity 1)  4 P 2.48, 4 Tc 2.69
Tc 0.5000 0.5000 0.0000 (multiplicity 1)  4 Cr 2.48, 4 Tc 2.69
P 0.5000 0.0000 0.5000 (multiplicity 1)  4 Tc 2.48, 4 Cr 2.69

***

3.
DFT (PBE) results for CrTc2P after structural relaxation.

Summary:
The calculation puts the density of states at the Fermi level at 0.85 states/eV per atom.

Cell lengths 2.8898, 4.2040, 8.4709 Å; angles 90.00, 90.00, 90.00 degrees
With the nearest neighbours (Å) after each atom.
Space group Imm2 (No. 44)
Inequivalent atoms, fractional coordinates:
Cr 0.0000 0.0000 0.0000 (multiplicity 2)  2 P 2.35, 4 Tc 2.58
Tc 0.0000 0.0000 0.4526 (multiplicity 2)  2 P 2.45, 4 Cr 2.58
Tc 0.0000 0.5000 0.2291 (multiplicity 2)  4 P 2.55, 2 Cr 2.71, 4 Tc 2.75-2.83
P 0.0000 0.5000 0.7189 (multiplicity 2)  2 Cr 2.35, 6 Tc 2.45-2.55

***

4.
DFT (PBE) results for CrTc2P after structural relaxation.

Summary:
The calculation puts the density of states at the Fermi level at 0.83 states/eV per atom.

Cell lengths 4.1934, 4.1934, 2.9590 Å; angles 90.00, 90.00, 90.00 degrees
With the nearest neighbours (Å) after each atom.
Space group P4/mmm (No. 123)
Inequivalent atoms, fractional coordinates:
Cr 0.0000 0.0000 0.0000 (multiplicity 1)  8 Tc 2.57
Tc 0.0000 0.5000 0.5000 (multiplicity 2)  4 Cr 2.57, 4 P 2.57
P 0.5000 0.5000 0.0000 (multiplicity 1)  8 Tc 2.57

***

VASP energy across the listed records, respectively: -32.08, -35.65, -36.69, -36.43 eV/f.u..
Formation energy across the listed records, respectively: -317, 28, -230, -166 meV per atom.
Magnetic moment across the listed records, respectively: 0.832, 0.195, 0.000, 1.244 μB/cell.